{
  "formula": "LiRe2Cl",
  "functional": "PBE",
  "state": "relaxed",
  "n_ef_per_ev_cell": 1.9,
  "m_tot_mub_per_fu": 0.00,
  "sg": "No. 139",
  "mass_density_g_cm3": 10.76,
  "final_energy_ev_per_atom": -7.183,
  "e_above_lowest_polymorph_kj_per_mol_atoms": 3.1,
  "lattice": [[-0.997, 6.804, -1.287], [-3.799, 5.865, -0.335], [1.001, -0.005, 2.938]],
  "species": ["Cl", "Li", "Re", "Re"],
  "fractional_positions": [[0.750, 0.750, 0.750], [0.250, 0.250, 0.250], [0.951, 0.951, 0.951], [0.549, 0.549, 0.549]]
}

---

{
  "formula": "Li2ReCl",
  "functional": "PBE",
  "state": "relaxed",
  "n_ef_per_ev_cell": 1.8,
  "m_tot_mub_per_fu": 0.00,
  "sg": "No. 65",
  "mass_density_g_cm3": 6.66,
  "final_energy_ev_per_atom": -4.740,
  "e_above_lowest_polymorph_kj_per_mol_atoms": 2.4,
  "lattice": [[2.783, 0.068, 0.000], [-1.010, 2.594, 0.000], [0.000, 0.000, 8.059]],
  "species": ["Cl", "Li", "Li", "Re"],
  "fractional_positions": [[0.500, 0.500, 0.750], [0.000, 0.000, 0.959], [0.000, 0.000, 0.541], [0.500, 0.500, 0.250]]
}

---

{
  "formula": "Li2ReCl",
  "functional": "PBE",
  "state": "relaxed",
  "n_ef_per_ev_cell": 3.3,
  "m_tot_mub_per_fu": 0.00,
  "sg": "No. 65",
  "mass_density_g_cm3": 6.66,
  "final_energy_ev_per_atom": -4.265,
  "e_above_lowest_polymorph_kj_per_mol_atoms": 48.3,
  "lattice": [[-3.760, 1.882, 2.740], [1.658, -4.663, 0.832], [1.784, 0.954, 1.793]],
  "species": ["Cl", "Li", "Li", "Re"],
  "fractional_positions": [[0.000, 0.500, 0.500], [0.000, 0.000, 0.000], [0.500, 0.500, 0.000], [0.500, 0.000, 0.500]]
}

---

{
  "formula": "LiReCl2",
  "functional": "PBE",
  "state": "relaxed",
  "n_ef_per_ev_cell": 3.0,
  "m_tot_mub_per_fu": 0.00,
  "sg": "No. 6",
  "mass_density_g_cm3": 6.44,
  "final_energy_ev_per_atom": -4.464,
  "e_above_lowest_polymorph_kj_per_mol_atoms": 38.3,
  "lattice": [[4.627, 0.000, 0.000], [0.000, 3.008, 0.025], [0.000, 2.781, 4.915]],
  "species": ["Cl", "Cl", "Li", "Re"],
  "fractional_positions": [[0.000, 0.776, 0.901], [0.500, 0.220, 0.302], [0.000, 0.655, 0.497], [0.500, 0.850, 0.800]]
}

---

{
  "formula": "Li2ReCl",
  "functional": "PBE",
  "state": "relaxed",
  "n_ef_per_ev_cell": 2.4,
  "m_tot_mub_per_fu": 0.00,
  "sg": "No. 35",
  "mass_density_g_cm3": 6.04,
  "final_energy_ev_per_atom": -4.240,
  "e_above_lowest_polymorph_kj_per_mol_atoms": 50.7,
  "lattice": [[-1.186, -2.339, 1.210], [1.735, 1.702, 1.562], [-7.053, 4.880, 2.517]],
  "species": ["Cl", "Li", "Li", "Re"],
  "fractional_positions": [[0.500, 0.500, 0.766], [0.000, 0.000, 0.961], [0.500, 0.500, 0.258], [0.000, 0.000, 0.515]]
}

---

{
  "formula": "LiReCl4",
  "functional": "PBE",
  "state": "relaxed",
  "n_ef_per_ev_cell": 2.1,
  "m_tot_mub_per_fu": 3.97,
  "sg": "No. 216",
  "mass_density_g_cm3": 3.61,
  "final_energy_ev_per_atom": -2.683,
  "lattice": [[-0.464, -0.312, 5.989], [-4.019, 3.419, 2.887], [-4.845, -2.527, 2.514]],
  "species": ["Li", "Re", "Cl", "Cl", "Cl", "Cl"],
  "fractional_positions": [[0.750, 0.750, 0.750], [0.000, 0.000, 0.000], [0.877, 0.374, 0.374], [0.374, 0.374, 0.877], [0.374, 0.877, 0.374], [0.374, 0.374, 0.374]]
}